No. 1
# GGA-PBE ZrScCl2, relaxed
data_ZrScCl2
_chemical_formula_sum 'Zr1 Sc1 Cl2'
_cell_length_a 4.698
_cell_length_b 4.698
_cell_length_c 3.234
_cell_angle_alpha 90.00
_cell_angle_beta 90.00
_cell_angle_gamma 90.09
_space_group_name_H-M_alt 'P 1'
_space_group_IT_number 1
loop_
_space_group_symop_operation_xyz
'x,y,z'
loop_
_atom_site_label
_atom_site_type_symbol
_atom_site_fract_x
_atom_site_fract_y
_atom_site_fract_z
_atom_site_occupancy
Sc1 Sc 0.500 0.000 0.500 1
Zr1 Zr 0.000 0.500 0.500 1
Cl1 Cl 0.000 0.000 0.000 1
Cl2 Cl 0.500 0.500 0.000 1
# - energy above the lowest structure with this stoichiometry (eV per atom) = 0.816
# - magnetic moment (μB/atom) = 0.0001
# - calculated total energy (eV per atom) = -5.18

No. 2
# GGA-PBE ReRhO2F, relaxed
data_ReRhO2F
_chemical_formula_sum 'Re1 Rh1 O2 F1'
_cell_length_a 3.798
_cell_length_b 3.798
_cell_length_c 4.545
_cell_angle_alpha 90.00
_cell_angle_beta 90.00
_cell_angle_gamma 90.00
_space_group_name_H-M_alt 'P 1'
_space_group_IT_number 1
loop_
_space_group_symop_operation_xyz
'x,y,z'
loop_
_atom_site_label
_atom_site_type_symbol
_atom_site_fract_x
_atom_site_fract_y
_atom_site_fract_z
_atom_site_occupancy
Re1 Re 0.000 0.000 0.000 1
Rh1 Rh 0.500 0.500 0.500 1
O1 O 0.000 0.500 0.000 1
O2 O 0.500 0.000 0.000 1
F1 F 0.000 0.000 0.500 1
# - magnetic moment (μB/atom) = 0.0120
# - calculated total energy (eV per atom) = -6.70

No. 3
# GGA-PBE RbNa3Cu4Br12, relaxed
data_RbNa3Cu4Br12
_chemical_formula_sum 'Rb1 Na3 Cu4 Br12'
_cell_length_a 9.225
_cell_length_b 9.225
_cell_length_c 9.225
_cell_angle_alpha 100.95
_cell_angle_beta 100.95
_cell_angle_gamma 100.95
_space_group_name_H-M_alt 'P 1'
_space_group_IT_number 1
loop_
_space_group_symop_operation_xyz
'x,y,z'
loop_
_atom_site_label
_atom_site_type_symbol
_atom_site_fract_x
_atom_site_fract_y
_atom_site_fract_z
_atom_site_occupancy
Rb1 Rb 0.000 0.000 0.000 1
Na1 Na 0.551 0.449 0.000 1
Na2 Na 0.449 0.000 0.551 1
Na3 Na 0.000 0.551 0.449 1
Cu1 Cu 0.937 0.063 0.500 1
Cu2 Cu 0.063 0.500 0.937 1
Cu3 Cu 0.500 0.937 0.063 1
Cu4 Cu 0.500 0.500 0.500 1
Br1 Br 0.500 0.337 0.663 1
Br2 Br 0.898 0.500 0.102 1
Br3 Br 0.102 0.898 0.500 1
Br4 Br 0.500 0.102 0.898 1
Br5 Br 0.354 0.008 0.225 1
Br6 Br 0.225 0.354 0.008 1
Br7 Br 0.008 0.225 0.354 1
Br8 Br 0.646 0.775 0.992 1
Br9 Br 0.992 0.646 0.775 1
Br10 Br 0.775 0.992 0.646 1
Br11 Br 0.663 0.500 0.337 1
Br12 Br 0.337 0.663 0.500 1
# - magnetic moment (μB/atom) = 0.0838
# - calculated total energy (eV per atom) = -2.81

No. 4
# GGA-PBE HfOsAuF2, relaxed
data_HfOsAuF2
_chemical_formula_sum 'Hf1 Os1 Au1 F2'
_cell_length_a 4.014
_cell_length_b 5.325
_cell_length_c 4.014
_cell_angle_alpha 90.00
_cell_angle_beta 90.00
_cell_angle_gamma 90.00
_space_group_name_H-M_alt 'P 1'
_space_group_IT_number 1
loop_
_space_group_symop_operation_xyz
'x,y,z'
loop_
_atom_site_label
_atom_site_type_symbol
_atom_site_fract_x
_atom_site_fract_y
_atom_site_fract_z
_atom_site_occupancy
Os1 Os 0.000 0.500 0.000 1
Hf1 Hf 0.000 0.000 0.000 1
Au1 Au 0.500 0.500 0.500 1
F1 F 0.000 0.000 0.500 1
F2 F 0.500 0.000 0.000 1
# - magnetic moment (μB/atom) = 0.1530
# - calculated total energy (eV per atom) = -6.84

No. 5
# GGA-PBE FeSi, relaxed
data_FeSi
_chemical_formula_sum 'Fe6 Si6'
_cell_length_a 3.903
_cell_length_b 7.473
_cell_length_c 4.968
_cell_angle_alpha 90.00
_cell_angle_beta 90.00
_cell_angle_gamma 90.00
_space_group_name_H-M_alt 'P 1'
_space_group_IT_number 1
loop_
_space_group_symop_operation_xyz
'x,y,z'
loop_
_atom_site_label
_atom_site_type_symbol
_atom_site_fract_x
_atom_site_fract_y
_atom_site_fract_z
_atom_site_occupancy
Fe1 Fe 0.000 0.297 0.971 1
Fe2 Fe 0.000 0.703 0.971 1
Fe3 Fe 0.000 0.797 0.471 1
Fe4 Fe 0.000 0.203 0.471 1
Fe5 Fe 0.500 0.000 0.393 1
Fe6 Fe 0.500 0.500 0.893 1
Si1 Si 0.500 0.833 0.787 1
Si2 Si 0.500 0.167 0.787 1
Si3 Si 0.500 0.333 0.287 1
Si4 Si 0.500 0.667 0.287 1
Si5 Si 0.000 0.000 0.095 1
Si6 Si 0.000 0.500 0.595 1
# - magnetic moment (μB/atom) = 0.6722
# - calculated total energy (eV per atom) = -7.12

No. 6
# GGA-PBE FeCoS2, relaxed
data_FeCoS2
_chemical_formula_sum 'Fe1 Co1 S2'
_cell_length_a 3.344
_cell_length_b 3.344
_cell_length_c 5.093
_cell_angle_alpha 90.00
_cell_angle_beta 90.00
_cell_angle_gamma 120.00
_space_group_name_H-M_alt 'P 1'
_space_group_IT_number 1
loop_
_space_group_symop_operation_xyz
'x,y,z'
loop_
_atom_site_label
_atom_site_type_symbol
_atom_site_fract_x
_atom_site_fract_y
_atom_site_fract_z
_atom_site_occupancy
Fe1 Fe 0.000 0.000 0.500 1
Co1 Co 0.000 0.000 0.000 1
S1 S 0.333 0.667 0.255 1
S2 S 0.667 0.333 0.745 1
# - energy above the lowest structure with this stoichiometry (eV per atom) = 0.257
# - magnetic moment (μB/atom) = 0.0005
# - calculated total energy (eV per atom) = -6.21